K2TlPt: optimized geometry, PBE.

Output
As for the theoretical density: 6.86 g cm⁻³. For the formation energy, the calculation gives 94 meV per atom.

Unit cell a=4.762 b=4.762 c=5.100 alpha=90.00 beta=90.00 gamma=90.37
Sites, in units of the cell vectors:
Tl1 0.000 0.500 0.500
K1 0.000 0.000 0.000
K2 0.500 0.500 0.000
Pt1 0.500 0.000 0.500